# 1
Compound: TaAgSb2C
Source: the Alexandria database
Functional: PBE
Structure: relaxed

Theoretical density in kg/m³: 8110
DOS at the Fermi energy in states/eV/f.u.: 5.095
Total DFT energy (no corrections) in eV/atom: -4.7196
Formation energy from raw total energies in eV/atom: 1.71
V in Å³ per cell: 111

a = 5.419 Å, b = 3.796 Å, c = 5.419 Å
α = 90.00°, β = 90.00°, γ = 90.00°
Site moments in Bohr magnetons follow the coordinates.
Atoms (fractional coordinates):
Sb1 0.000 0.000 0.500  -0.03
Sb2 0.500 0.000 0.000  -0.02
C1 0.000 0.500 0.000  0.00
Ag1 0.000 0.000 0.000  0.01
Ta1 0.500 0.500 0.500  0.95

# 2
Compound: CeZrTcRu
Source: the Alexandria database
Functional: PBE
Structure: relaxed

Theoretical density in kg/m³: 9359
DOS at the Fermi energy in states/eV/f.u.: 3.933
Total DFT energy (no corrections) in eV/atom: -8.8168
ΔE_f in eV per atom: -0.286
V in Å³ per cell: 76

a = 4.762 Å, b = 4.762 Å, c = 4.762 Å
α = 60.00°, β = 60.00°, γ = 60.00°
Atoms (fractional coordinates):
Ru1 0.750 0.750 0.750
Zr1 0.000 0.000 0.000
Tc1 0.250 0.250 0.250
Ce1 0.500 0.500 0.500

# 3
Compound: PaSnPN
Source: the Alexandria database
Functional: PBE
Structure: relaxed

Theoretical density in kg/m³: 7982
DOS at the Fermi energy in states/eV/f.u.: 3.221
Total DFT energy (no corrections) in eV/atom: -7.7919
Formation energy from raw total energies in eV/atom: -0.98
V in Å³ per cell: 164

a = 3.908 Å, b = 3.908 Å, c = 12.623 Å
α = 81.10°, β = 81.10°, γ = 60.00°
Site moments in Bohr magnetons follow the coordinates.
Atoms (fractional coordinates):
Pa1 0.629 0.629 0.114  0.20
Pa2 0.371 0.371 0.886  0.20
Sn1 0.798 0.798 0.606  0.00
Sn2 0.202 0.202 0.394  0.00
P1 0.088 0.088 0.735  0.00
P2 0.912 0.912 0.265  0.00
N1 0.689 0.689 0.933  -0.01
N2 0.311 0.311 0.067  -0.01

# 4
Compound: TcSnOF2
Source: the Alexandria database
Functional: PBE
Structure: relaxed

Theoretical density in kg/m³: 5958
DOS at the Fermi energy in states/eV/f.u.: 3.292
Energy relative to the lowest polymorph listed for this composition in eV/atom: 0.0000
Total DFT energy (no corrections) in eV/atom: -5.6949
Formation energy from raw total energies in eV/atom: -1.08
V in Å³ per cell: 75

a = 4.485 Å, b = 4.485 Å, c = 3.750 Å
α = 90.00°, β = 90.00°, γ = 90.00°
Atoms (fractional coordinates):
F1 0.000 0.500 0.000
F2 0.500 0.000 0.000
Sn1 0.500 0.500 0.500
O1 0.000 0.000 0.500
Tc1 0.000 0.000 0.000